Compound: Dy3TaO7
Source: Alexandria via LeMat-Bulk
Functional: GGA-PBEsol
Structure: relaxed

Geometry as POSCAR:
```
Dy3TaO7
1.0
7.343 0.000 0.000
0.000 10.471 0.000
0.000 0.000 7.441
Dy Ta O
12 4 28
Cartesian
0.115 2.618 1.529
1.826 0.237 4.001
1.826 4.999 4.001
1.845 5.473 0.281
1.845 10.234 0.281
3.557 7.853 5.250
3.786 2.618 2.191
5.498 0.237 7.160
5.498 4.999 7.160
5.517 5.473 3.440
5.517 10.234 3.440
7.229 7.853 5.911
0.018 2.618 5.586
3.654 7.853 1.866
3.690 2.618 5.575
7.325 7.853 1.855
0.290 1.305 7.108
0.290 3.930 7.108
0.326 6.377 3.043
0.326 9.329 3.043
1.771 6.458 5.727
1.771 9.249 5.727
1.822 2.618 4.892
1.849 7.853 1.171
1.901 1.222 2.007
1.901 4.013 2.007
3.346 1.142 6.764
3.346 4.094 6.764
3.381 6.541 3.388
3.381 9.166 3.388
3.962 1.305 4.053
3.962 3.930 4.053
3.998 6.377 0.677
3.998 9.329 0.677
5.442 6.458 5.434
5.442 9.249 5.434
5.494 2.618 6.270
5.521 7.853 2.549
5.573 1.222 1.714
5.573 4.013 1.714
7.017 1.142 4.398
7.017 4.094 4.398
7.053 6.541 0.333
7.053 9.166 0.333
```

Output
For the energy above the most stable polymorph in this dataset, the calculation gives 12 meV/atom. The total energy is -9.294 eV/atom. As for the spin magnetization: 0.0 μB per formula unit. The crystal system is orthorhombic. As for the uncorrected formation energy: -3455.1 meV per atom.